Ac2Ga4Ag3Au: optimized geometry, PBE-GGA.

a = 4.600 Å, b = 4.600 Å, c = 10.686 Å
α = 90.00°, β = 90.00°, γ = 90.00°
Fractional positions:
Ac (0.500, 0.000, 0.252)
Ac (0.000, 0.500, 0.748)
Ga (0.500, 0.500, 0.000)
Ga (0.000, 0.000, 0.000)
Ga (0.500, 0.000, 0.629)
Ga (0.000, 0.500, 0.371)
Ag (0.000, 0.000, 0.500)
Ag (0.500, 0.000, 0.871)
Ag (0.000, 0.500, 0.129)
Au (0.500, 0.500, 0.500)

Results
Spin magnetization in μB/f.u.: 0.000
Calculated volume in Å³ per cell: 226.1
DFT formation energy in meV per atom: -444

Al2CoTc: optimized geometry, PBE-GGA.

a = 5.593 Å, b = 5.593 Å, c = 5.593 Å
α = 55.54°, β = 152.51°, γ = 132.75°
Fractional positions:
Co (0.000, 0.000, 0.000)
Tc (0.000, 0.500, 0.500)
Al (0.000, 0.229, 0.229)
Al (0.000, 0.771, 0.771)

Results
Spin magnetization in μB/f.u.: 0.002
Energy above the most stable polymorph in this dataset in eV/f.u.: 3.589
Calculated volume in Å³ per cell: 59.0
DFT formation energy in meV per atom: 477

ZnSe2O6: optimized geometry, PBE-GGA.

a = 6.024 Å, b = 5.666 Å, c = 5.666 Å
α = 120.00°, β = 90.00°, γ = 90.00°
Fractional positions:
Zn (0.000, 0.000, 0.000)
Se (0.722, 0.333, 0.667)
Se (0.278, 0.667, 0.333)
O (0.801, 0.662, 0.831)
O (0.801, 0.169, 0.338)
O (0.199, 0.831, 0.169)
O (0.801, 0.169, 0.831)
O (0.199, 0.831, 0.662)
O (0.199, 0.338, 0.169)

Results
Spin magnetization in μB/f.u.: 0.000
Energy above the most stable polymorph in this dataset in eV/f.u.: 0.727
Calculated volume in Å³ per cell: 167.5
Energy relative to the elements, uncorrected in kJ/mol of formula units: -520

HfGaCo: optimized geometry, PBE-GGA.

a = 3.035 Å, b = 3.035 Å, c = 5.451 Å
α = 106.17°, β = 106.17°, γ = 90.00°
Each line ends with the local moment (μB).
Fractional positions:
Co (0.961, 0.961, 0.922)  0.67
Hf (0.295, 0.295, 0.591)  0.05
Ga (0.594, 0.594, 0.188)  0.00

Results
Spin magnetization in μB/f.u.: 0.733
Calculated volume in Å³ per cell: 46.2
DFT formation energy in meV per atom: -349